Here is a geometry-optimized NiSI2O structure from Alexandria. Energies are from PBE+U.

abc: 5.649 5.649 3.494
angles: 90.00 90.00 90.00
Element x y z (fractional)
Ni (0.000, 0.000, 0.000)
I (0.000, 0.500, 0.000)
I (0.500, 0.000, 0.000)
S (0.500, 0.500, 0.500)
O (0.000, 0.000, 0.500)

Density, g/cm³: 5.4
Total energy, eV per atom: -2.472
ΔE to the lowest computed polymorph, eV per atom: 0.000
D(E_F), states/eV/f.u.: 4.34
Total magnetic moment, μB/cell: 2.068